No. 1
The following is a PBE-GGA calculation of crystalline SiBiPS2 at its relaxed geometry, from the Alexandria database.

Cell: 5.163 5.163 5.245 Å, 90.00 90.00 90.00°
Atoms (fractional coordinates):
Si: 0.500 0.500 0.500
P: 0.000 0.000 0.500
S: 0.500 0.000 0.000
S: 0.000 0.500 0.000
Bi: 0.000 0.000 0.000

Total magnetization, μB per atom: 0.000
Formation energy (no corrections), eV/atom: 1.137
Energy above the lowest structure with this stoichiometry, meV per atom: 939


No. 2
The following is a PBE-GGA calculation of crystalline SiBiPS2 at its relaxed geometry, from the Alexandria database.

Cell: 4.599 4.599 4.630 Å, 90.00 90.00 90.00°
Atoms (fractional coordinates):
Si: 0.000 0.000 0.000
Bi: 0.500 0.500 0.500
S: 0.500 0.000 0.000
S: 0.000 0.500 0.000
P: 0.000 0.000 0.500

Total magnetization, μB per atom: 0.000
Formation energy (no corrections), eV/atom: 0.198
Energy above the lowest structure with this stoichiometry, meV per atom: 0


No. 3
The following is a PBE-GGA calculation of crystalline SnBiPS2 at its relaxed geometry, from the Alexandria database.

Cell: 5.209 5.209 5.242 Å, 90.00 90.00 90.00°
Atoms (fractional coordinates):
Bi: 0.000 0.000 0.000
P: 0.000 0.000 0.500
Sn: 0.500 0.500 0.500
S: 0.500 0.000 0.000
S: 0.000 0.500 0.000

Total magnetization, μB per atom: 0.000
Formation energy (no corrections), eV/atom: 0.601
Energy above the lowest structure with this stoichiometry, meV per atom: 140


No. 4
The following is a PBE-GGA calculation of crystalline SnBiP2S at its relaxed geometry, from the Alexandria database.

Cell: 5.041 5.041 4.936 Å, 90.00 90.00 90.00°
Atoms (fractional coordinates):
Sn: 0.000 0.000 0.000
Bi: 0.500 0.500 0.500
P: 0.500 0.000 0.000
P: 0.000 0.500 0.000
S: 0.000 0.000 0.500

Total magnetization, μB per atom: 0.000
Formation energy (no corrections), eV/atom: 0.717
Energy above the lowest structure with this stoichiometry, meV per atom: 0


No. 5
The following is a PBE-GGA calculation of crystalline SnBiPS2 at its relaxed geometry, from the Alexandria database.

Cell: 4.959 4.959 5.081 Å, 90.00 90.00 90.00°
Atoms (fractional coordinates):
S: 0.000 0.500 0.000
S: 0.500 0.000 0.000
Sn: 0.000 0.000 0.000
P: 0.000 0.000 0.500
Bi: 0.500 0.500 0.500

Total magnetization, μB per atom: 0.000
Formation energy (no corrections), eV/atom: 0.461
Energy above the lowest structure with this stoichiometry, meV per atom: 0


No. 6
The following is a PBE-GGA calculation of crystalline SnBiP2S at its relaxed geometry, from the Alexandria database.

Cell: 5.228 5.228 5.240 Å, 90.00 90.00 90.00°
Atoms (fractional coordinates):
Sn: 0.500 0.500 0.500
P: 0.000 0.500 0.000
P: 0.500 0.000 0.000
S: 0.000 0.000 0.500
Bi: 0.000 0.000 0.000

Total magnetization, μB per atom: 0.000
Formation energy (no corrections), eV/atom: 0.903
Energy above the lowest structure with this stoichiometry, meV per atom: 186


No. 7
The following is a PBE-GGA calculation of crystalline SrBiPS2 at its relaxed geometry, from the Alexandria database.

Cell: 5.277 5.277 5.235 Å, 90.00 90.00 90.00°
Atoms (fractional coordinates):
S: 0.500 0.000 0.000
S: 0.000 0.500 0.000
Bi: 0.000 0.000 0.000
Sr: 0.500 0.500 0.500
P: 0.000 0.000 0.500

Total magnetization, μB per atom: 0.000
Formation energy (no corrections), eV/atom: -0.219
Energy above the lowest structure with this stoichiometry, meV per atom: 3


No. 8
The following is a PBE-GGA calculation of crystalline Sr6Bi2PS at its relaxed geometry, from the Alexandria database.

Cell: 7.681 8.584 11.230 Å, 90.00 89.98 90.00°
Atoms (fractional coordinates):
Sr: 0.816 0.811 0.558
Sr: 0.386 0.961 0.749
Sr: 0.316 0.689 0.058
Sr: 0.614 0.039 0.251
Sr: 0.114 0.461 0.751
Sr: 0.886 0.539 0.249
Sr: 0.318 0.696 0.444
Sr: 0.818 0.804 0.944
Sr: 0.184 0.189 0.442
Sr: 0.684 0.311 0.942
Sr: 0.682 0.304 0.556
Sr: 0.182 0.196 0.056
Bi: 0.037 0.912 0.248
Bi: 0.537 0.588 0.748
Bi: 0.963 0.088 0.752
Bi: 0.463 0.412 0.252
S: 0.000 0.500 0.500
S: 0.500 0.000 0.000
P: 0.000 0.500 0.000
P: 0.500 0.000 0.500

Total magnetization, μB per atom: 0.093
Formation energy (no corrections), eV/atom: -1.126


No. 9
The following is a PBE-GGA calculation of crystalline SrBiPS2 at its relaxed geometry, from the Alexandria database.

Cell: 4.896 5.299 4.896 Å, 90.00 90.00 90.00°
Atoms (fractional coordinates):
Sr: 0.500 0.500 0.500
Bi: 0.000 0.500 0.000
S: 0.500 0.000 0.000
S: 0.000 0.000 0.500
P: 0.000 0.000 0.000

Total magnetization, μB per atom: 0.000
Formation energy (no corrections), eV/atom: -0.222
Energy above the lowest structure with this stoichiometry, meV per atom: 0


No. 10
The following is a PBE-GGA calculation of crystalline SrBiPS2 at its relaxed geometry, from the Alexandria database.

Cell: 5.384 5.384 5.424 Å, 90.00 90.00 90.00°
Atoms (fractional coordinates):
S: 0.000 0.500 0.000
S: 0.500 0.000 0.000
P: 0.000 0.000 0.500
Bi: 0.500 0.500 0.500
Sr: 0.000 0.000 0.000

Total magnetization, μB per atom: 0.000
Formation energy (no corrections), eV/atom: 0.563
Energy above the lowest structure with this stoichiometry, meV per atom: 785


No. 11
The following is a PBE-GGA calculation of crystalline TaBiP2S at its relaxed geometry, from the Alexandria database.

Cell: 4.971 4.971 4.628 Å, 90.00 90.00 90.00°
Atoms (fractional coordinates):
P: 0.500 0.000 0.000
P: 0.000 0.500 0.000
Ta: 0.000 0.000 0.000
S: 0.000 0.000 0.500
Bi: 0.500 0.500 0.500

Total magnetization, μB per atom: 0.000
Formation energy (no corrections), eV/atom: 0.146
Energy above the lowest structure with this stoichiometry, meV per atom: 0


No. 12
The following is a PBE-GGA calculation of crystalline TaBiP2S at its relaxed geometry, from the Alexandria database.

Cell: 5.052 5.052 4.991 Å, 90.00 90.00 90.00°
Atoms (fractional coordinates):
Bi: 0.000 0.000 0.000
P: 0.500 0.000 0.000
P: 0.000 0.500 0.000
S: 0.000 0.000 0.500
Ta: 0.500 0.500 0.500

Total magnetization, μB per atom: 0.011
Formation energy (no corrections), eV/atom: 1.734
Energy above the lowest structure with this stoichiometry, meV per atom: 1588


No. 13
The following is a PBE-GGA calculation of crystalline TaBiP2S at its relaxed geometry, from the Alexandria database.

Cell: 5.112 5.443 5.112 Å, 90.00 90.00 90.00°
Atoms (fractional coordinates):
Bi: 0.000 0.000 0.000
S: 0.500 0.500 0.500
Ta: 0.000 0.500 0.000
P: 0.000 0.000 0.500
P: 0.500 0.000 0.000

Total magnetization, μB per atom: 0.000
Formation energy (no corrections), eV/atom: 2.096
Energy above the lowest structure with this stoichiometry, meV per atom: 1950


No. 14
The following is a PBE-GGA calculation of crystalline TcBiPS2 at its relaxed geometry, from the Alexandria database.

Cell: 5.135 5.135 5.270 Å, 90.00 90.00 90.00°
Site moments in Bohr magnetons follow the coordinates.
Atoms (fractional coordinates):
S: 0.500 0.000 0.000  -0.02
S: 0.000 0.500 0.000  -0.02
Tc: 0.500 0.500 0.500  3.95
Bi: 0.000 0.000 0.000  0.00
P: 0.000 0.000 0.500  -0.25

Total magnetization, μB per atom: 0.783
Formation energy (no corrections), eV/atom: 1.428
Energy above the lowest structure with this stoichiometry, meV per atom: 1137


No. 15
The following is a PBE-GGA calculation of crystalline TcBiPS2 at its relaxed geometry, from the Alexandria database.

Cell: 4.513 4.513 5.155 Å, 90.00 90.00 90.00°
Atoms (fractional coordinates):
P: 0.000 0.000 0.500
S: 0.000 0.500 0.000
S: 0.500 0.000 0.000
Bi: 0.500 0.500 0.500
Tc: 0.000 0.000 0.000

Total magnetization, μB per atom: 0.000
Formation energy (no corrections), eV/atom: 0.291
Energy above the lowest structure with this stoichiometry, meV per atom: 0


No. 16
The following is a PBE-GGA calculation of crystalline Th4Bi2PS at its relaxed geometry, from the Alexandria database.

Cell: 4.292 7.457 7.654 Å, 108.85 90.00 90.00°
Atoms (fractional coordinates):
Bi: 0.000 0.500 0.500
Bi: 0.500 0.000 0.500
S: 0.000 0.000 0.000
P: 0.500 0.500 0.000
Th: 0.500 0.764 0.795
Th: 0.000 0.735 0.205
Th: 0.500 0.236 0.205
Th: 0.000 0.265 0.795

Total magnetization, μB per atom: 0.000
Formation energy (no corrections), eV/atom: -1.135


No. 17
The following is a PBE-GGA calculation of crystalline TlBiPS2 at its relaxed geometry, from the Alexandria database.

Cell: 5.350 5.350 5.414 Å, 90.00 90.00 90.00°
Site moments in Bohr magnetons follow the coordinates.
Atoms (fractional coordinates):
S: 0.500 0.000 0.000  0.22
S: 0.000 0.500 0.000  0.22
P: 0.000 0.000 0.500  0.65
Bi: 0.000 0.000 0.000  0.00
Tl: 0.500 0.500 0.500  0.02

Total magnetization, μB per atom: 0.442
Formation energy (no corrections), eV/atom: 0.484
Energy above the lowest structure with this stoichiometry, meV per atom: 0


No. 18
The following is a PBE-GGA calculation of crystalline TlBiP2S7 at its relaxed geometry, from the Alexandria database.

Cell: 12.729 9.221 9.744 Å, 89.60 90.00 90.00°
Atoms (fractional coordinates):
Tl: 0.686 0.113 0.887
Tl: 0.814 0.613 0.887
Tl: 0.314 0.887 0.113
Tl: 0.186 0.387 0.113
Bi: 0.637 0.870 0.348
Bi: 0.363 0.130 0.652
Bi: 0.863 0.370 0.348
Bi: 0.137 0.630 0.652
S: 0.675 0.568 0.410
S: 0.210 0.114 0.877
S: 0.457 0.416 0.247
S: 0.689 0.846 0.655
S: 0.942 0.201 0.132
S: 0.449 0.815 0.503
S: 0.558 0.701 0.132
S: 0.957 0.084 0.753
S: 0.531 0.068 0.173
S: 0.051 0.315 0.503
S: 0.442 0.299 0.868
S: 0.969 0.568 0.173
S: 0.290 0.614 0.877
S: 0.058 0.799 0.868
S: 0.811 0.346 0.655
S: 0.311 0.154 0.345
S: 0.710 0.386 0.123
S: 0.551 0.185 0.497
S: 0.469 0.932 0.827
S: 0.189 0.654 0.345
S: 0.949 0.685 0.497
S: 0.790 0.886 0.123
S: 0.543 0.584 0.753
S: 0.043 0.916 0.247
S: 0.031 0.432 0.827
S: 0.325 0.432 0.590
S: 0.825 0.068 0.410
S: 0.175 0.932 0.590
P: 0.108 0.985 0.773
P: 0.392 0.485 0.773
P: 0.534 0.803 0.680
P: 0.892 0.015 0.227
P: 0.966 0.303 0.680
P: 0.034 0.697 0.320
P: 0.466 0.197 0.320
P: 0.608 0.515 0.227

Total magnetization, μB per atom: 0.000
Formation energy (no corrections), eV/atom: -0.327


No. 19
The following is a PBE-GGA calculation of crystalline Tm6BiP2S3 at its relaxed geometry, from the Alexandria database.

Cell: 3.977 8.005 8.888 Å, 102.24 102.93 90.00°
Atoms (fractional coordinates):
S: 0.500 0.500 0.000
S: 0.836 0.167 0.673
S: 0.164 0.833 0.327
Tm: 0.676 0.102 0.353
Tm: 0.670 0.579 0.341
Tm: 0.324 0.898 0.647
Tm: 0.330 0.421 0.659
Tm: 0.995 0.723 0.990
Tm: 0.005 0.277 0.010
P: 0.168 0.337 0.336
P: 0.832 0.663 0.664
Bi: 0.500 0.000 0.000

Total magnetization, μB per atom: 0.000
Formation energy (no corrections), eV/atom: -1.614


No. 20
The following is a PBE-GGA calculation of crystalline VBiP2S at its relaxed geometry, from the Alexandria database.

Cell: 4.804 4.804 4.355 Å, 90.00 90.00 90.00°
Site moments in Bohr magnetons follow the coordinates.
Atoms (fractional coordinates):
P: 0.000 0.500 0.000  -0.01
P: 0.500 0.000 0.000  -0.01
Bi: 0.500 0.500 0.500  0.03
V: 0.000 0.000 0.000  0.09
S: 0.000 0.000 0.500  -0.01

Total magnetization, μB per atom: 0.019
Formation energy (no corrections), eV/atom: 0.170
Energy above the lowest structure with this stoichiometry, meV per atom: 0